# 1
## Y7Cr (GGA-PBE)

Data for crystalline Y7Cr at its relaxed geometry.

ΔE_f = 19.9 kJ/mol of atoms
spin magnetization = 13.3 μB/cell

Unit cell a=9.888 b=9.888 c=9.888 alpha=90.00 beta=90.00 gamma=90.00
Space group Fm-3m (No. 225)
Asymmetric unit:
1 Y 0.000 0.000 0.000 (multiplicity 4)
2 Y 0.000 0.250 0.250 (multiplicity 24)
3 Cr 0.000 0.000 0.500 (multiplicity 4)

# 2
## YCr (GGA-PBE)

Data for crystalline YCr at its relaxed geometry.

ΔE_f = 62.3 kJ/mol of atoms
spin magnetization = 33.6 μB/cell

Unit cell a=7.206 b=7.206 c=7.206 alpha=90.00 beta=90.00 gamma=90.00
Space group Fd-3m (No. 227, origin choice 2)
Asymmetric unit:
1 Y 0.125 0.125 0.125 (multiplicity 8)
2 Cr 0.125 0.125 0.625 (multiplicity 8)

# 3
## YCr3 (GGA-PBE)

Data for crystalline YCr3 at its relaxed geometry.

ΔE_f = 85.5 kJ/mol of atoms
spin magnetization = 7.6 μB/cell

Unit cell a=4.088 b=4.088 c=4.088 alpha=90.00 beta=90.00 gamma=90.00
Space group Pm-3m (No. 221)
Asymmetric unit:
1 Y 0.000 0.000 0.000 (multiplicity 1)
2 Cr 0.000 0.500 0.500 (multiplicity 3)

# 4
## Y2Cr3 (GGA-PBE)

Data for crystalline Y2Cr3 at its relaxed geometry.

ΔE_f = 97.8 kJ/mol of atoms
energy above the lowest structure with this stoichiometry = 91 meV per atom
spin magnetization = 11.7 μB/cell

Unit cell a=4.9215 b=4.9215 c=5.9826 alpha=90.00 beta=90.00 gamma=120.00
Space group P-3m1 (No. 164)
Asymmetric unit:
1 Y 0.3333 0.6667 0.3228 (multiplicity 2)
2 Cr 0.0000 0.0000 0.5000 (multiplicity 1)
3 Cr 0.3333 0.6667 0.8269 (multiplicity 2)

# 5
## YCr (GGA-PBE)

Data for crystalline YCr at its relaxed geometry.

ΔE_f = 67.8 kJ/mol of atoms
spin magnetization = 3.3 μB/cell

Unit cell a=3.4385 b=3.4385 c=4.6539 alpha=90.00 beta=90.00 gamma=120.00
Space group P-6m2 (No. 187)
Asymmetric unit:
1 Y 0.0000 0.0000 0.0000 (multiplicity 1)
2 Cr 0.6667 0.3333 0.5000 (multiplicity 1)

# 6
## Y3Cr (GGA-PBE)

Data for crystalline Y3Cr at its relaxed geometry.

ΔE_f = 30.3 kJ/mol of atoms
spin magnetization = 3.0 μB/cell

Unit cell a=4.872 b=4.872 c=4.668 alpha=90.00 beta=90.00 gamma=90.00
Space group P4/mmm (No. 123)
Asymmetric unit:
1 Y 0.000 0.000 0.000 (multiplicity 1)
2 Y 0.000 0.500 0.500 (multiplicity 2)
3 Cr 0.500 0.500 0.000 (multiplicity 1)

Number 1: volume 30.2 Å³/atom. Number 2: volume 23.4 Å³/atom. Number 3: volume 17.1 Å³/atom. Number 4: volume 25.1 Å³/atom. Number 5: volume 23.8 Å³/atom. Number 6: volume 27.7 Å³/atom.